Entry 1:
The following is a PBE-GGA calculation of a geometry-optimized LaCrP2Cl structure, from Alexandria via LeMat-Bulk.

## Properties
energy relative to the lowest polymorph listed for this composition = 1.092 eV per atom
formation energy without anion corrections = 0.394 eV per atom

Structure (extended XYZ):
```
5
Lattice="-3.227 -2.138 4.018 -3.919 -1.198 -3.786 2.235 -4.842 -0.782" Properties=species:S:1:pos:R:3 pbc="T T T"
P -1.960 -0.599 -1.893
Cl 1.117 -2.421 -0.391
La 0.000 0.000 0.000
Cr -2.456 -4.089 -0.275
P -1.614 -1.069 2.009
```

---

Entry 2:
The following is a PBE-GGA calculation of a geometry-optimized La2CrReCl structure, from Alexandria via LeMat-Bulk.

## Properties
formation energy without anion corrections = 0.579 eV per atom

Structure (extended XYZ):
```
5
Lattice="5.532 0.000 0.000 0.000 4.851 0.000 0.000 0.000 5.532" Properties=species:S:1:pos:R:3 pbc="T T T"
Cl 0.000 2.426 0.000
Cr 2.766 2.426 2.766
La 0.000 0.000 2.766
La 2.766 0.000 0.000
Re 0.000 0.000 0.000
```

---

Entry 3:
The following is a PBE-GGA calculation of a geometry-optimized LaCrRh2Cl structure, from Alexandria via LeMat-Bulk.

## Properties
formation energy without anion corrections = 0.109 eV per atom

Structure (extended XYZ):
```
5
Lattice="4.404 0.000 0.000 0.000 5.849 0.000 0.000 0.000 4.404" Properties=species:S:1:pos:R:3 pbc="T T T"
La 0.000 2.924 0.000
Cr 0.000 0.000 0.000
Cl 2.202 2.924 2.202
Rh 0.000 0.000 2.202
Rh 2.202 0.000 0.000
```

---

Entry 4:
The following is a PBE-GGA calculation of a geometry-optimized LaCrSCl2 structure, from Alexandria via LeMat-Bulk.

## Properties
energy relative to the lowest polymorph listed for this composition = 0.000 eV per atom
formation energy without anion corrections = -1.126 eV per atom

Structure (extended XYZ):
```
5
Lattice="4.714 0.000 0.000 0.000 4.714 0.000 0.000 0.000 4.935" Properties=species:S:1:pos:R:3 pbc="T T T"
Cl 2.357 0.000 0.000
S 0.000 0.000 2.468
Cr 0.000 0.000 0.000
Cl 0.000 2.357 0.000
La 2.357 2.357 2.468
```